(1)
Crystalline KCrPPd2 at its relaxed geometry. Source: Alexandria via LeMat-Bulk, functional PBE-GGA.

Lattice parameters (Å, degrees): 4.8451 4.8451 5.4624 90.00 90.00 90.00
Sites, in units of the cell vectors:
K (0.0000, 0.0000, 0.0000)
Cr (0.5000, 0.5000, 0.5000)
P (0.0000, 0.0000, 0.5000)
Pd (0.0000, 0.5000, 0.0000)
Pd (0.5000, 0.0000, 0.0000)

Computed properties:
The calculation puts the energy of formation at 165.4 kJ/mol of atoms. As for the total magnetization: 0.798 μB/atom.

---

(2)
Crystalline Dy2ZrU2Ru5 at its relaxed geometry. Source: Alexandria via LeMat-Bulk, functional PBE-GGA.

Lattice parameters (Å, degrees): 10.5165 10.5165 3.5271 90.00 90.00 90.00
Sites, in units of the cell vectors:
Dy (0.1736, 0.3264, 0.0000)
Dy (0.3264, 0.8264, 0.0000)
Dy (0.6736, 0.1736, 0.0000)
Dy (0.8264, 0.6736, 0.0000)
Zr (0.0000, 0.0000, 0.0000)
Zr (0.5000, 0.5000, 0.0000)
U (0.1382, 0.6382, 0.0000)
U (0.3618, 0.1382, 0.0000)
U (0.6382, 0.8618, 0.0000)
U (0.8618, 0.3618, 0.0000)
Ru (0.0000, 0.5000, 0.5000)
Ru (0.0504, 0.7945, 0.5000)
Ru (0.2055, 0.0504, 0.5000)
Ru (0.2945, 0.5504, 0.5000)
Ru (0.4496, 0.2945, 0.5000)
Ru (0.5000, 0.0000, 0.5000)
Ru (0.5504, 0.7055, 0.5000)
Ru (0.7055, 0.4496, 0.5000)
Ru (0.7945, 0.9496, 0.5000)
Ru (0.9496, 0.2055, 0.5000)

Computed properties:
The calculation puts the energy of formation at -27.7 kJ/mol of atoms. As for the total magnetization: 0.000 μB/atom.